# ReAsSeN2 | the Alexandria database | PBE | relaxed
# Distance to the lowest polymorph of the same formula, eV/atom: 0.000
# Total moment, μB per formula unit: 1.2
# Calculated total energy, eV per cell: -33.97
data_ReAsSeN2
_cell_length_a 3.8541
_cell_length_b 3.8541
_cell_length_c 5.5127
_cell_angle_alpha 90.00
_cell_angle_beta 90.00
_cell_angle_gamma 90.00
_space_group_name_H-M_alt 'P 1'
_space_group_IT_number 1
loop_
_space_group_symop_operation_xyz
'x,y,z'
loop_
_atom_site_label
_atom_site_type_symbol
_atom_site_fract_x
_atom_site_fract_y
_atom_site_fract_z
Re1 Re 0.0000 0.0000 0.0000
As1 As 0.5000 0.5000 0.5000
Se1 Se 0.0000 0.0000 0.5000
N1 N 0.0000 0.5000 0.0000
N2 N 0.5000 0.0000 0.0000